Entry 1:
Computed, not measured: a relaxed NaSr3Ir crystal at the PBE level of DFT.

For the formation energy, the calculation gives 0.570 eV per atom. The energy above the most stable polymorph in this dataset comes out at 66.8 kJ per mole of atoms. The total DFT energy (no corrections) comes out at -0.1819 Ry/atom. Its total magnetization is 0.00 μB/f.u.

The structure belongs to space group R3m (No. 160, hexagonal axes); the cell edges are 9.7633, 9.7633 and 11.7992 Å and the angles 90.00°, 90.00° and 120.00°. Symmetry generates all atoms from Na at (0.0000, 0.0000, 0.0000), Sr at (0.1799, 0.3598, 0.8461) and Ir at (0.0000, 0.0000, 0.2533).

Entry 2:
Computed, not measured: a relaxed ZrSc2Te5 crystal at the PBE level of DFT.

The uncorrected formation energy is -7.85 eV per formula unit. The total DFT energy (no corrections) comes out at -0.4113 Ry/atom. Its total magnetization is 0.00 μB/f.u.

The structure belongs to space group Cmcm (No. 63); the cell edges are 5.793, 13.667 and 13.794 Å and the angles 90.00°, 90.00° and 90.00°. Symmetry generates all atoms from Zr at (0.000, 0.203, 0.250), Sc at (0.000, 0.157, 0.553), Te at (0.000, 0.045, 0.121), Te at (0.000, 0.250, 0.750) and Te at (0.000, 0.332, 0.071).

Entry 3:
Computed, not measured: a relaxed TcPdPt3 crystal at the PBE level of DFT.

For the formation energy, the calculation gives -0.085 eV per atom. The energy above the most stable polymorph in this dataset comes out at 0.0 kJ per mole of atoms. The total DFT energy (no corrections) comes out at -0.5014 Ry/atom. Its total magnetization is 0.00 μB/f.u.

The structure belongs to space group P6_3mc (No. 186); the cell edges are 2.7816, 2.7816 and 22.8592 Å and the angles 90.00°, 90.00° and 120.00°. Symmetry generates all atoms from Tc at (0.0000, 0.0000, 0.0000), Pd at (0.3333, 0.6667, 0.1981), Pt at (0.0000, 0.0000, 0.2995), Pt at (0.3333, 0.6667, 0.5960) and Pt at (0.3333, 0.6667, 0.9040).